Entry from the Alexandria database: a geometry-optimized ScSbIr2 structure (GGA-PBE).

Energy (eV/atom): -7.00
V (Å³/cell): 222.8
Spin magnetization (μB/cell): 0.000

a b c (Å): 3.1574 3.1574 25.8022
angles (deg): 90.00 90.00 120.00
Space group R3m (No. 160, hexagonal axes)
One atom of each set of equivalent atoms:
1 Sc 0.0000 0.0000 0.0000 (multiplicity 3)
2 Sb 0.0000 0.0000 0.2341 (multiplicity 3)
3 Ir 0.0000 0.0000 0.4908 (multiplicity 3)
4 Ir 0.0000 0.0000 0.7399 (multiplicity 3)